Crystalline Tb3NdY2 at its relaxed geometry, computed with PBE-GGA.

Lattice parameters (Å, degrees): 17.5679 7.1666 6.2048 90.00 90.10 90.00
Space group C2/c (No. 15)
Inequivalent atoms, fractional coordinates:
Tb  0.0000  0.1244  0.2500 (multiplicity 4)
Tb  0.1676  0.3747  0.4167 (multiplicity 8)
Nd  0.0000  0.3753  0.7500 (multiplicity 4)
Y  0.1672  0.1249  0.9167 (multiplicity 8)

offset from the most stable computed form: 21 meV/atom
calculated formation energy: 0.02 eV/atom



Crystalline LaY3Te at its relaxed geometry, computed with PBE-GGA.

Lattice parameters (Å, degrees): 5.6645 5.6645 5.6645 90.00 90.00 90.00
Space group Pm-3m (No. 221)
Inequivalent atoms, fractional coordinates:
La  0.0000  0.0000  0.0000 (multiplicity 1)
Y  0.0000  0.0000  0.5000 (multiplicity 3)
Te  0.5000  0.5000  0.5000 (multiplicity 1)

E_form (uncorrected): 0.65 eV/atom
offset from the most stable computed form: 789 meV/atom



Crystalline Sr2InAgO5 at its relaxed geometry, computed with PBE-GGA.

Lattice parameters (Å, degrees): 3.4537 13.7404 11.3481 90.00 90.00 90.00
Space group Cmc2_1 (No. 36)
Inequivalent atoms, fractional coordinates:
Sr  0.0000  0.0892  0.0000 (multiplicity 4)
Sr  0.0000  0.1458  0.6246 (multiplicity 4)
In  0.0000  0.2173  0.3552 (multiplicity 4)
Ag  0.0000  0.4708  0.7748 (multiplicity 4)
O  0.0000  0.0662  0.3995 (multiplicity 4)
O  0.0000  0.2654  0.9825 (multiplicity 4)
O  0.0000  0.3198  0.7298 (multiplicity 4)
O  0.0000  0.3767  0.3166 (multiplicity 4)
O  0.0000  0.4876  0.1001 (multiplicity 4)

E_form (uncorrected): -1.61 eV/atom



Crystalline K2InSn2 at its relaxed geometry, computed with PBE-GGA.

Lattice parameters (Å, degrees): 10.0700 10.0700 3.5048 90.00 90.00 90.00
Space group P4/mbm (No. 127)
Inequivalent atoms, fractional coordinates:
K  0.1957  0.3043  0.0000 (multiplicity 4)
In  0.0000  0.0000  0.5000 (multiplicity 2)
Sn  0.1009  0.6009  0.5000 (multiplicity 4)

offset from the most stable computed form: 227 meV/atom
calculated formation energy: 0.02 eV/atom



Crystalline HfSc3P4 at its relaxed geometry, computed with PBE-GGA.

Lattice parameters (Å, degrees): 7.4783 10.5523 3.7379 90.00 90.00 90.00
Space group Cmmm (No. 65)
Inequivalent atoms, fractional coordinates:
Hf  0.0000  0.0000  0.0000 (multiplicity 2)
Sc  0.0000  0.5000  0.0000 (multiplicity 2)
Sc  0.2500  0.2500  0.5000 (multiplicity 4)
P  0.0000  0.2489  0.0000 (multiplicity 4)
P  0.2483  0.0000  0.5000 (multiplicity 4)

calculated formation energy: -1.47 eV/atom



Crystalline Dy7ErHg4 at its relaxed geometry, computed with PBE-GGA.

Lattice parameters (Å, degrees): 14.5856 5.6737 9.7441 90.00 122.29 90.00
Space group C2/m (No. 12)
Inequivalent atoms, fractional coordinates:
Dy  0.0000  0.0000  0.0000 (multiplicity 2)
Dy  0.0662  0.5000  0.4046 (multiplicity 4)
Dy  0.2085  0.5000  0.8856 (multiplicity 4)
Dy  0.2335  0.0000  0.6861 (multiplicity 4)
Er  0.0000  0.5000  0.0000 (multiplicity 2)
Hg  0.0471  0.0000  0.7261 (multiplicity 4)
Hg  0.1884  0.0000  0.3403 (multiplicity 4)

calculated formation energy: -0.10 eV/atom



Crystalline Be2InAg2 at its relaxed geometry, computed with PBE-GGA.

Lattice parameters (Å, degrees): 6.7571 6.7571 3.3097 90.00 90.00 90.00
Space group P4/mbm (No. 127)
Inequivalent atoms, fractional coordinates:
Be  0.1278  0.3722  0.0000 (multiplicity 4)
In  0.0000  0.0000  0.0000 (multiplicity 2)
Ag  0.1561  0.6561  0.5000 (multiplicity 4)

offset from the most stable computed form: 35 meV/atom
calculated formation energy: 0.23 eV/atom



Crystalline Sb2TeCl at its relaxed geometry, computed with PBE-GGA.

Lattice parameters (Å, degrees): 10.2152 4.0191 7.5415 90.00 120.34 90.00
Space group C2/m (No. 12)
Inequivalent atoms, fractional coordinates:
Sb  0.2170  0.0000  0.3261 (multiplicity 4)
Te  0.0000  0.0000  0.5000 (multiplicity 2)
Cl  0.0000  0.5000  0.0000 (multiplicity 2)

E_form (uncorrected): -0.10 eV/atom
offset from the most stable computed form: 63 meV/atom



Crystalline Er4TlSb2 at its relaxed geometry, computed with PBE-GGA.

Lattice parameters (Å, degrees): 5.9805 6.5992 10.1750 90.00 101.74 90.00
Space group P2_1/m (No. 11)
Inequivalent atoms, fractional coordinates:
Er  0.0026  0.2500  0.3357 (multiplicity 2)
Er  0.1416  0.2500  0.9588 (multiplicity 2)
Er  0.4595  0.5055  0.2411 (multiplicity 4)
Tl  0.0512  0.2500  0.6618 (multiplicity 2)
Sb  0.3139  0.7500  0.9606 (multiplicity 2)
Sb  0.4450  0.7500  0.5041 (multiplicity 2)

E_form (uncorrected): -0.52 eV/atom



Crystalline SrBi3F at its relaxed geometry, computed with PBE-GGA.

Lattice parameters (Å, degrees): 5.2177 5.2177 5.2177 90.00 90.00 90.00
Space group Pm-3m (No. 221)
Inequivalent atoms, fractional coordinates:
Sr  0.0000  0.0000  0.0000 (multiplicity 1)
Bi  0.0000  0.5000  0.5000 (multiplicity 3)
F  0.5000  0.5000  0.5000 (multiplicity 1)

E_form (uncorrected): -0.77 eV/atom
offset from the most stable computed form: 0 meV/atom



Crystalline SmY3Pb2 at its relaxed geometry, computed with PBE-GGA.

Lattice parameters (Å, degrees): 7.5378 14.6056 7.5201 90.00 90.00 90.00
Space group Ibam (No. 72)
Inequivalent atoms, fractional coordinates:
Sm  0.0000  0.0000  0.0000 (multiplicity 4)
Y  0.0000  0.2111  0.2500 (multiplicity 8)
Y  0.0000  0.5000  0.2500 (multiplicity 4)
Pb  0.1824  0.3572  0.0000 (multiplicity 8)

calculated formation energy: -0.19 eV/atom



Crystalline K2TlCd4Sn3 at its relaxed geometry, computed with PBE-GGA.

Lattice parameters (Å, degrees): 4.9422 4.9422 12.5240 90.00 90.00 90.00
Space group P-4m2 (No. 115)
Inequivalent atoms, fractional coordinates:
K  0.0000  0.5000  0.2429 (multiplicity 2)
Tl  0.0000  0.0000  0.5000 (multiplicity 1)
Cd  0.0000  0.0000  0.0000 (multiplicity 1)
Cd  0.0000  0.5000  0.6417 (multiplicity 2)
Cd  0.5000  0.5000  0.0000 (multiplicity 1)
Sn  0.0000  0.5000  0.8691 (multiplicity 2)
Sn  0.5000  0.5000  0.5000 (multiplicity 1)

calculated formation energy: -0.13 eV/atom



Crystalline SrTi3O6 at its relaxed geometry, computed with PBE-GGA.

Lattice parameters (Å, degrees): 5.3612 5.3612 14.1268 90.00 90.00 120.00
Space group R3 (No. 146, hexagonal axes)
Inequivalent atoms, fractional coordinates:
Sr  0.0000  0.0000  0.0000 (multiplicity 3)
Ti  0.0000  0.0000  0.2582 (multiplicity 3)
Ti  0.0000  0.0000  0.4637 (multiplicity 3)
Ti  0.0000  0.0000  0.7672 (multiplicity 3)
O  0.0175  0.5647  0.0283 (multiplicity 9)
O  0.0249  0.3352  0.8535 (multiplicity 9)

E_form (uncorrected): -2.91 eV/atom



Crystalline UAs2H at its relaxed geometry, computed with PBE-GGA.

Lattice parameters (Å, degrees): 3.7978 3.7978 4.5807 90.00 90.00 90.00
Space group P4/mmm (No. 123)
Inequivalent atoms, fractional coordinates:
U  0.0000  0.0000  0.0000 (multiplicity 1)
As  0.0000  0.5000  0.5000 (multiplicity 2)
H  0.5000  0.5000  0.0000 (multiplicity 1)

offset from the most stable computed form: 0 meV/atom



Crystalline CeSm3Ru3 at its relaxed geometry, computed with PBE-GGA.

Lattice parameters (Å, degrees): 10.6118 9.4418 6.6598 90.00 95.98 90.00
Space group C2/m (No. 12)
Inequivalent atoms, fractional coordinates:
Ce  0.2085  0.0000  0.4072 (multiplicity 4)
Sm  0.0000  0.1853  0.0000 (multiplicity 4)
Sm  0.0000  0.2910  0.5000 (multiplicity 4)
Sm  0.1868  0.5000  0.0450 (multiplicity 4)
Ru  0.0718  0.0000  0.6947 (multiplicity 4)
Ru  0.2460  0.2600  0.7355 (multiplicity 8)

offset from the most stable computed form: 51 meV/atom
calculated formation energy: -0.23 eV/atom



Crystalline Li3Ag2Pb2 at its relaxed geometry, computed with PBE-GGA.

Lattice parameters (Å, degrees): 8.3120 4.8859 7.7036 90.00 114.67 90.00
Space group C2/m (No. 12)
Inequivalent atoms, fractional coordinates:
Li  0.0000  0.0000  0.0000 (multiplicity 2)
Li  0.1417  0.0000  0.4309 (multiplicity 4)
Ag  0.2098  0.5000  0.1668 (multiplicity 4)
Pb  0.0863  0.5000  0.7315 (multiplicity 4)

calculated formation energy: -0.21 eV/atom



Crystalline RbNa3Sr at its relaxed geometry, computed with PBE-GGA.

Lattice parameters (Å, degrees): 7.0776 7.0776 7.0776 90.00 90.00 90.00
Space group Pm-3m (No. 221)
Inequivalent atoms, fractional coordinates:
Rb  0.0000  0.0000  0.0000 (multiplicity 1)
Na  0.0000  0.5000  0.5000 (multiplicity 3)
Sr  0.5000  0.5000  0.5000 (multiplicity 1)

offset from the most stable computed form: 0 meV/atom
calculated formation energy: 0.35 eV/atom



Crystalline HoErPdPt at its relaxed geometry, computed with PBE-GGA.

Lattice parameters (Å, degrees): 6.9562 6.9562 6.9562 90.00 90.00 90.00
Space group F-43m (No. 216)
Inequivalent atoms, fractional coordinates:
Ho  0.0000  0.0000  0.0000 (multiplicity 4)
Er  0.0000  0.0000  0.5000 (multiplicity 4)
Pd  0.2500  0.2500  0.2500 (multiplicity 4)
Pt  0.2500  0.2500  0.7500 (multiplicity 4)

offset from the most stable computed form: 29 meV/atom
calculated formation energy: -1.10 eV/atom



Crystalline Mn5Pt4 at its relaxed geometry, computed with PBE-GGA.

Lattice parameters (Å, degrees): 8.2475 8.2475 3.8595 90.00 90.00 90.00
Space group I4/mmm (No. 139)
Inequivalent atoms, fractional coordinates:
Mn  0.0000  0.0000  0.0000 (multiplicity 2)
Mn  0.1642  0.1642  0.5000 (multiplicity 8)
Pt  0.0000  0.3210  0.0000 (multiplicity 8)

offset from the most stable computed form: 0 meV/atom
calculated formation energy: -0.27 eV/atom



Crystalline Ag2SbMo at its relaxed geometry, computed with PBE-GGA.

Lattice parameters (Å, degrees): 7.7349 7.7349 5.4168 90.00 90.00 90.00
Space group I-42d (No. 122)
Inequivalent atoms, fractional coordinates:
Ag  0.2493  0.2500  0.1250 (multiplicity 8)
Sb  0.0000  0.0000  0.5000 (multiplicity 4)
Mo  0.0000  0.0000  0.0000 (multiplicity 4)

E_form (uncorrected): 0.66 eV/atom



Crystalline ZnSBrN2 at its relaxed geometry, computed with PBE-GGA.

Lattice parameters (Å, degrees): 3.9373 3.9373 5.7153 90.00 90.00 90.00
Space group P4/mmm (No. 123)
Inequivalent atoms, fractional coordinates:
Zn  0.0000  0.0000  0.0000 (multiplicity 1)
S  0.0000  0.0000  0.5000 (multiplicity 1)
Br  0.5000  0.5000  0.5000 (multiplicity 1)
N  0.0000  0.5000  0.0000 (multiplicity 2)

E_form (uncorrected): 1.60 eV/atom
offset from the most stable computed form: 0 meV/atom



Crystalline Pm4PCI2 at its relaxed geometry, computed with PBE-GGA.

Lattice parameters (Å, degrees): 7.0556 4.0132 8.0181 90.00 106.82 90.00
Space group P2/m (No. 10)
Inequivalent atoms, fractional coordinates:
Pm  0.2035  0.0000  0.1763 (multiplicity 2)
Pm  0.2464  0.5000  0.8192 (multiplicity 2)
P  0.5000  0.0000  0.0000 (multiplicity 1)
C  0.0000  0.5000  0.0000 (multiplicity 1)
I  0.0000  0.0000  0.5000 (multiplicity 1)
I  0.5000  0.5000  0.5000 (multiplicity 1)

E_form (uncorrected): -1.04 eV/atom



Crystalline SmPuCo at its relaxed geometry, computed with PBE-GGA.

Lattice parameters (Å, degrees): 11.5688 3.5892 7.0423 90.00 113.20 90.00
Space group Cm (No. 8)
Inequivalent atoms, fractional coordinates:
Sm  0.0000  0.0000  0.0000 (multiplicity 2)
Sm  0.0709  0.5000  0.5401 (multiplicity 2)
Pu  0.2918  0.5000  0.3022 (multiplicity 2)
Pu  0.3104  0.0000  0.5477 (multiplicity 2)
Co  0.1942  0.5000  0.9564 (multiplicity 2)
Co  0.2738  0.0000  0.8553 (multiplicity 2)

offset from the most stable computed form: 159 meV/atom
calculated formation energy: 0.12 eV/atom



Crystalline Ta2AlRh at its relaxed geometry, computed with PBE-GGA.

Lattice parameters (Å, degrees): 3.8376 3.8376 8.9167 90.00 90.00 90.00
Space group I-4m2 (No. 119)
Inequivalent atoms, fractional coordinates:
Ta  0.0000  0.0000  0.0000 (multiplicity 2)
Ta  0.0000  0.5000  0.2500 (multiplicity 2)
Al  0.0000  0.5000  0.7500 (multiplicity 2)
Rh  0.0000  0.0000  0.5000 (multiplicity 2)

calculated formation energy: -0.29 eV/atom



no.,mass density (g cm⁻³)
1,6.79
2,4.87
3,5.89
4,4.02
5,4.92
6,10.27
7,7.66
8,5.05
9,9.43
10,8.58
11,6.67
12,5.91
13,4.64
14,9.77
15,8.95
16,7.60
17,1.13
18,12.50
19,13.35
20,8.88
21,3.85
22,6.70
23,11.20
24,12.44